A plane-wave DFT calculation with PBE was carried out for an optimized crystal structure of Tm2ThSn.

```
Tm2ThSn
1.0
5.390 0.000 0.000
2.695 4.668 0.000
2.695 1.556 4.401
Tm Sn Th
2 1 1
direct
0.250 0.250 0.250
0.750 0.750 0.750
0.500 0.500 0.500
0.000 0.000 0.000
```

Output
The calculation puts the total moment at 0.001 μB/atom. The energy above the most stable polymorph in this dataset is 215 meV/atom. The total energy comes out at -20.9 eV/cell.


A plane-wave DFT calculation with PBE was carried out for an optimized crystal structure of Fe3Rh4.

```
Fe3Rh4
1.0
3.998 0.000 1.192
1.821 3.559 1.192
0.026 0.016 7.214
Fe Rh
3 4
direct
0.248 0.248 0.257
0.752 0.752 0.743
0.000 0.000 0.000
0.624 0.624 0.128
0.874 0.874 0.379
0.126 0.126 0.621
0.376 0.376 0.872
```

Output
The calculation puts the total moment at 1.816 μB/atom. The energy above the most stable polymorph in this dataset is 128 meV/atom. The total energy comes out at -53.8 eV/cell.


A plane-wave DFT calculation with PBE was carried out for an optimized crystal structure of CuAg3Cl4.

```
CuAg3Cl4
1.0
-4.459 5.041 -0.971
-4.734 -4.722 -2.778
-3.144 -1.318 7.596
Ag Cu Cl
6 2 8
direct
0.505 0.842 0.000
0.998 0.670 0.250
0.498 0.330 0.250
0.005 0.158 0.500
0.498 0.330 0.750
0.998 0.670 0.750
0.010 0.167 0.000
0.510 0.833 0.500
0.117 0.863 0.000
0.662 0.173 0.000
0.112 0.323 0.231
0.612 0.677 0.269
0.162 0.827 0.500
0.617 0.137 0.500
0.612 0.677 0.731
0.112 0.323 0.769
```

Output
The calculation puts the total moment at 0.016 μB/atom. For the uncorrected formation energy, the calculation gives -0.426 eV/atom. The total energy comes out at -46.9 eV/cell.


A plane-wave DFT calculation with PBE was carried out for an optimized crystal structure of La3PtI2.

```
La3PtI2
1.0
-0.903 -4.080 -0.400
2.807 -1.178 5.676
-7.485 3.735 0.822
La Pt I
3 1 2
direct
0.628 0.628 0.257
0.000 0.000 0.000
0.372 0.372 0.743
0.000 0.500 0.000
0.318 0.818 0.636
0.682 0.182 0.364
```

Output
The calculation puts the total moment at 0.046 μB/atom. For the uncorrected formation energy, the calculation gives -1.121 eV/atom. The total energy comes out at -30.7 eV/cell.


A plane-wave DFT calculation with PBE was carried out for an optimized crystal structure of Cs4Rb2As2Pb.

```
Cs4Rb2As2Pb
1.0
-2.029 4.216 -2.630
-7.986 2.847 5.259
2.332 7.977 5.521
Cs Rb As Pb
4 2 2 1
direct
0.137 0.667 0.060
0.863 0.940 0.333
0.863 0.333 0.940
0.137 0.060 0.667
0.353 0.647 0.647
0.647 0.353 0.353
0.296 0.204 0.204
0.704 0.796 0.796
0.500 0.000 0.000
```

Output
The calculation puts the total moment at 0.000 μB/atom. The total energy comes out at -19.7 eV/cell.


A plane-wave DFT calculation with PBE was carried out for an optimized crystal structure of TmAgS2.

```
TmAgS2
1.0
-5.289 5.240 1.315
-5.230 -4.506 -3.080
-2.234 -5.068 11.211
Tm Ag S
8 8 16
direct
0.722 0.500 0.253
0.222 0.500 0.747
0.970 0.751 0.503
0.470 0.249 0.497
0.720 0.000 0.753
0.220 0.000 0.247
0.472 0.749 0.003
0.972 0.251 0.997
0.705 0.990 0.315
0.205 0.010 0.685
0.486 0.731 0.565
0.986 0.269 0.435
0.236 0.491 0.184
0.736 0.509 0.816
0.956 0.769 0.065
0.456 0.231 0.935
0.454 0.733 0.221
0.954 0.267 0.779
0.742 0.520 0.036
0.242 0.480 0.964
0.700 0.980 0.535
0.200 0.020 0.465
0.950 0.772 0.285
0.450 0.228 0.715
0.739 0.482 0.471
0.239 0.518 0.529
0.988 0.767 0.721
0.488 0.233 0.279
0.203 0.982 0.029
0.703 0.018 0.971
0.992 0.272 0.215
0.492 0.728 0.785
```

Output
The calculation puts the total moment at 0.000 μB/atom. For the uncorrected formation energy, the calculation gives -1.317 eV/atom. The total energy comes out at -166.8 eV/cell.


A plane-wave DFT calculation with PBE was carried out for an optimized crystal structure of BaMo2Pb.

```
BaMo2Pb
1.0
-4.586 -1.586 -2.159
-0.337 -2.353 2.445
-3.220 3.829 4.027
Ba Mo Pb
1 2 1
direct
0.500 0.750 0.750
0.000 0.035 0.118
0.000 0.465 0.382
0.500 0.250 0.250
```

Output
The calculation puts the total moment at 0.000 μB/atom. The total energy comes out at -24.3 eV/cell.


A plane-wave DFT calculation with PBE was carried out for an optimized crystal structure of NbCdCoCu2.

```
NbCdCoCu2
1.0
4.525 0.000 0.000
0.000 4.525 0.000
0.000 0.000 4.362
Nb Co Cu Cd
1 1 2 1
direct
0.000 0.000 0.500
0.000 0.000 0.000
0.000 0.500 0.000
0.500 0.000 0.000
0.500 0.500 0.500
```

Output
The calculation puts the total moment at 0.000 μB/atom. The total energy comes out at -22.9 eV/cell.


A plane-wave DFT calculation with PBE was carried out for an optimized crystal structure of Sr4In5.

```
Sr4In5
1.0
10.017 0.000 0.000
-5.008 8.675 0.000
0.000 0.000 6.982
Sr In
8 10
direct
0.000 0.000 0.000
0.000 0.000 0.500
0.000 0.367 0.250
0.633 0.633 0.250
0.367 0.000 0.250
0.000 0.633 0.750
0.367 0.367 0.750
0.633 0.000 0.750
0.000 0.694 0.250
0.306 0.306 0.250
0.694 0.000 0.250
0.000 0.306 0.750
0.694 0.694 0.750
0.306 0.000 0.750
0.667 0.333 0.000
0.333 0.667 0.500
0.333 0.667 0.000
0.667 0.333 0.500
```

Output
The calculation puts the total moment at 0.000 μB/atom. The energy above the most stable polymorph in this dataset is 0 meV/atom. The total energy comes out at -46.1 eV/cell.


A plane-wave DFT calculation with PBE was carried out for an optimized crystal structure of Sr3Ti5Te12.

```
Sr3Ti5Te12
1.0
-9.934 -6.390 9.669
-2.512 -5.276 -14.101
14.230 -3.492 4.279
Sr Ti Te
12 20 48
direct
0.750 0.375 0.125
0.875 0.750 0.125
0.375 0.750 0.625
0.250 0.125 0.375
0.875 0.125 0.250
0.375 0.625 0.250
0.625 0.375 0.750
0.125 0.875 0.750
0.750 0.875 0.625
0.625 0.250 0.375
0.125 0.250 0.875
0.250 0.625 0.875
0.125 0.375 0.250
0.000 0.500 0.000
0.000 0.000 0.000
0.375 0.250 0.125
0.500 0.000 0.500
0.500 0.500 0.000
0.125 0.750 0.375
0.750 0.125 0.875
0.750 0.625 0.375
0.375 0.125 0.750
0.625 0.875 0.250
0.500 0.500 0.500
0.500 0.000 0.000
0.000 0.000 0.500
0.250 0.375 0.625
0.250 0.875 0.125
0.000 0.500 0.500
0.875 0.250 0.625
0.625 0.750 0.875
0.875 0.625 0.750
0.702 0.112 0.022
0.319 0.522 0.410
0.978 0.388 0.298
0.522 0.202 0.112
0.591 0.702 0.681
0.978 0.590 0.181
0.319 0.798 0.409
0.090 0.909 0.112
0.590 0.978 0.681
0.702 0.591 0.181
0.798 0.478 0.388
0.819 0.910 0.022
0.112 0.702 0.522
0.388 0.410 0.091
0.091 0.910 0.388
0.409 0.112 0.590
0.091 0.181 0.202
0.478 0.681 0.090
0.819 0.909 0.298
0.112 0.409 0.090
0.388 0.978 0.798
0.590 0.612 0.409
0.910 0.819 0.522
0.798 0.319 0.909
0.410 0.388 0.591
0.090 0.181 0.478
0.202 0.681 0.091
0.181 0.091 0.702
0.612 0.022 0.202
0.888 0.591 0.910
0.522 0.319 0.910
0.591 0.888 0.410
0.909 0.819 0.798
0.909 0.090 0.612
0.888 0.298 0.478
0.181 0.090 0.978
0.612 0.590 0.909
0.410 0.022 0.319
0.298 0.409 0.819
0.202 0.522 0.612
0.910 0.091 0.888
0.681 0.202 0.591
0.478 0.798 0.888
0.022 0.410 0.819
0.409 0.298 0.319
0.022 0.612 0.702
0.681 0.478 0.590
0.298 0.888 0.978
```

Output
The calculation puts the total moment at 0.102 μB/atom. For the uncorrected formation energy, the calculation gives -0.822 eV/atom. The total energy comes out at -394.6 eV/cell.


A plane-wave DFT calculation with PBE was carried out for an optimized crystal structure of Na2ScF6.

```
Na2ScF6
1.0
-0.030 -1.477 3.535
-1.787 -3.239 0.708
9.092 -3.720 0.599
Na Sc F
2 1 6
direct
0.881 0.411 0.828
0.119 0.589 0.172
0.500 0.500 0.500
0.455 0.164 0.926
0.545 0.836 0.074
0.678 0.358 0.286
0.126 0.199 0.549
0.322 0.642 0.714
0.874 0.801 0.451
```

Output
The calculation puts the total moment at 0.115 μB/atom. For the uncorrected formation energy, the calculation gives -2.952 eV/atom. The total energy comes out at -46.8 eV/cell.


A plane-wave DFT calculation with PBE was carried out for an optimized crystal structure of Nb3CoHg.

```
Nb3CoHg
1.0
5.015 0.000 0.000
0.000 5.015 0.000
0.000 0.000 5.015
Nb Co Hg
3 1 1
direct
0.000 0.500 0.000
0.000 0.000 0.500
0.500 0.000 0.000
0.500 0.500 0.500
0.000 0.000 0.000
```

Output
The calculation puts the total moment at 0.404 μB/atom. The energy above the most stable polymorph in this dataset is 1832 meV/atom. The total energy comes out at -25.4 eV/cell.


A plane-wave DFT calculation with PBE was carried out for an optimized crystal structure of Tb2PaSn.

```
Tb2PaSn
1.0
-3.659 -1.205 -2.442
2.485 -3.704 -1.895
-1.482 -2.850 3.628
Pa Tb Sn
1 2 1
direct
0.500 0.500 0.500
0.000 0.000 0.500
0.000 0.500 0.000
0.500 0.000 0.000
```

Output
The calculation puts the total moment at 0.001 μB/atom. The energy above the most stable polymorph in this dataset is 0 meV/atom. The total energy comes out at -23.6 eV/cell.


A plane-wave DFT calculation with PBE was carried out for an optimized crystal structure of Tm8TlTc2.

```
Tm8TlTc2
1.0
5.032 0.067 -1.508
-0.895 6.257 -2.707
-0.076 0.059 8.902
Tm Tl Tc
8 1 2
direct
0.637 0.269 0.909
0.967 0.015 0.570
0.306 0.354 0.249
0.747 0.934 0.131
0.346 0.858 0.328
0.927 0.440 0.491
0.137 0.539 0.909
0.525 0.712 0.687
0.136 0.973 0.909
0.801 0.618 0.238
0.472 0.289 0.580
```

Output
The calculation puts the total moment at 0.000 μB/atom. The total energy comes out at -60.2 eV/cell.


A plane-wave DFT calculation with PBE was carried out for an optimized crystal structure of ZrMn2Au.

```
ZrMn2Au
1.0
5.142 0.002 -0.008
3.662 3.610 -0.008
1.486 0.610 3.557
Au Mn Zr
1 2 1
direct
0.250 0.250 0.250
0.000 0.000 0.000
0.750 0.750 0.750
0.500 0.500 0.500
```

Output
The calculation puts the total moment at 1.404 μB/atom. The energy above the most stable polymorph in this dataset is 2 meV/atom. The total energy comes out at -30.6 eV/cell.


A plane-wave DFT calculation with PBE was carried out for an optimized crystal structure of Rb3Dy3PuO8.

```
Rb3Dy3PuO8
1.0
6.991 0.000 0.000
-3.495 6.054 -0.022
0.000 -4.013 6.663
Rb Dy Pu O
3 3 1 8
direct
0.000 0.000 0.000
0.000 0.500 0.000
0.500 0.500 0.000
0.500 0.000 0.500
0.500 0.500 0.500
0.000 0.500 0.500
0.000 0.000 0.500
0.277 0.553 0.330
0.723 0.447 0.670
0.783 0.566 0.334
0.217 0.434 0.666
0.783 0.051 0.334
0.217 0.949 0.666
0.268 0.051 0.334
0.732 0.949 0.666
```

Output
The calculation puts the total moment at 0.267 μB/atom. For the uncorrected formation energy, the calculation gives -2.777 eV/atom. The total energy comes out at -112.4 eV/cell.


A plane-wave DFT calculation with PBE was carried out for an optimized crystal structure of CoAs2Au.

```
CoAs2Au
1.0
5.131 -0.005 0.000
2.185 4.642 0.000
-3.658 -2.319 2.751
As Au Co
2 1 1
direct
0.000 0.000 0.000
0.250 0.750 0.500
0.500 0.500 0.000
0.750 0.250 0.500
```

Output
The calculation puts the total moment at 0.271 μB/atom. The energy above the most stable polymorph in this dataset is 431 meV/atom. The total energy comes out at -18.2 eV/cell.


A plane-wave DFT calculation with PBE was carried out for an optimized crystal structure of ZrCr2B2.

```
ZrCr2B2
1.0
-1.094 -5.162 -2.891
-0.987 -2.739 5.265
-2.956 0.726 -0.177
Cr B Zr
4 4 2
direct
0.165 0.665 0.500
0.665 0.835 0.500
0.835 0.335 0.500
0.335 0.165 0.500
0.396 0.896 0.000
0.896 0.604 0.000
0.604 0.104 0.000
0.104 0.396 0.000
0.000 0.000 0.000
0.500 0.500 0.000
```

Output
The calculation puts the total moment at 0.000 μB/atom. The total energy comes out at -84.3 eV/cell.


A plane-wave DFT calculation with PBE was carried out for an optimized crystal structure of ZnAg2Rh.

```
ZnAg2Rh
1.0
-0.621 -2.706 0.295
2.704 0.554 -0.425
1.273 0.688 8.991
Ag Rh Zn
2 1 1
direct
0.000 0.000 0.987
0.500 0.500 0.257
0.000 0.000 0.517
0.500 0.500 0.739
```

Output
The calculation puts the total moment at 0.000 μB/atom. The total energy comes out at -14.2 eV/cell.


A plane-wave DFT calculation with PBE was carried out for an optimized crystal structure of BOs3Pt.

```
BOs3Pt
1.0
4.768 0.000 0.000
0.000 4.768 0.000
0.000 0.000 4.768
B Os Pt
1 3 1
direct
0.500 0.500 0.500
0.000 0.500 0.000
0.000 0.000 0.500
0.500 0.000 0.000
0.000 0.000 0.000
```

Output
The calculation puts the total moment at 0.576 μB/atom. The energy above the most stable polymorph in this dataset is 3071 meV/atom. The total energy comes out at -29.0 eV/cell.